The following is a DFT calculation (PBE) of an optimized crystal structure of NbTe2Os.

Geometry as POSCAR:
```
NbTe2Os
1.0
0.000 3.366 3.366
3.366 0.000 3.366
3.366 3.366 0.000
Nb Te Os
1 2 1
Direct
0.000 0.000 0.000 Nb
0.250 0.250 0.250 Te
0.750 0.750 0.750 Te
0.500 0.500 0.500 Os
```

Calculated values
Space-group type = Fm-3m, No. 225
Energy above the most stable polymorph in this dataset = 576 meV per atom
Total magnetization = 0.00 μB per formula unit
Calculated total energy = -26.0 eV for the cell shown
Formation energy without anion corrections = 1.6 eV/f.u.